[1]
A plane-wave DFT calculation with PBE was carried out for a relaxed structure of Nb2CuSi.

The uncorrected formation energy is 0.1145 eV/atom.

abc: 6.9528 6.9528 5.6302
angles: 51.87 51.87 90.00
Last column: nearest neighbours and their distance in Å.
Positions (direct):
Si1 0.5000 0.5000 0.0000  4 Nb 2.54, 2 Cu 2.74
Si2 0.2500 0.7500 0.5000  4 Nb 2.54, 2 Cu 2.74
Nb1 0.1281 0.6250 0.2500  2 Si 2.54, 2 Cu 2.57, 2 Nb 2.74
Nb2 0.6219 0.1250 0.2500  2 Si 2.54, 2 Cu 2.57, 2 Nb 2.74
Nb3 0.8750 0.8719 0.7500  2 Si 2.54, 2 Cu 2.57, 2 Nb 2.74
Nb4 0.3750 0.3781 0.7500  2 Si 2.54, 2 Cu 2.57, 2 Nb 2.74
Cu1 0.0000 0.0000 0.0000  4 Nb 2.57, 2 Si 2.74
Cu2 0.7500 0.2500 0.5000  4 Nb 2.57, 2 Si 2.74


[2]
A plane-wave DFT calculation with PBE was carried out for a relaxed structure of Nb2Cu2Si.

The uncorrected formation energy is -0.0110 eV/atom.

abc: 6.0992 6.0992 4.0189
angles: 90.00 90.00 90.00
Last column: nearest neighbours and their distance in Å.
Positions (direct):
Si1 0.5000 0.5000 0.0000  4 Cu 2.37
Si2 0.0000 0.0000 0.0000  4 Cu 2.37
Cu1 0.3630 0.8630 0.0000  1 Cu 2.36, 2 Si 2.37, 2 Nb 2.61
Cu2 0.1370 0.3630 0.0000  1 Cu 2.36, 2 Si 2.37, 2 Nb 2.61
Cu3 0.6370 0.1370 0.0000  1 Cu 2.36, 2 Si 2.37, 2 Nb 2.61
Cu4 0.8630 0.6370 0.0000  1 Cu 2.36, 2 Si 2.37, 2 Nb 2.61
Nb1 0.3306 0.1694 0.5000  6 Cu 2.61-2.75, 1 Nb 2.92
Nb2 0.1694 0.6694 0.5000  6 Cu 2.61-2.75, 1 Nb 2.92
Nb3 0.8306 0.3306 0.5000  6 Cu 2.61-2.75, 1 Nb 2.92
Nb4 0.6694 0.8306 0.5000  6 Cu 2.61-2.75, 1 Nb 2.92


[3]
A plane-wave DFT calculation with PBE was carried out for a relaxed structure of NbCu2Si.

The uncorrected formation energy is 0.1095 eV/atom.

abc: 3.5812 3.5812 9.7785
angles: 79.45 79.45 90.00
Last column: nearest neighbours and their distance in Å.
Positions (direct):
Nb1 0.0000 0.0000 0.0000  4 Si 2.53, 4 Cu 2.70
Nb2 0.7500 0.2500 0.5000  4 Si 2.53, 4 Cu 2.70
Cu1 0.6105 0.1250 0.2500  4 Cu 2.46-2.61, 2 Si 2.66, 2 Nb 2.70
Cu2 0.1395 0.6250 0.2500  4 Cu 2.46-2.61, 2 Si 2.66, 2 Nb 2.70
Cu3 0.3750 0.3895 0.7500  4 Cu 2.46-2.61, 2 Si 2.66, 2 Nb 2.70
Cu4 0.8750 0.8605 0.7500  4 Cu 2.46-2.61, 2 Si 2.66, 2 Nb 2.70
Si1 0.5000 0.5000 0.0000  4 Nb 2.53, 4 Cu 2.66
Si2 0.2500 0.7500 0.5000  4 Nb 2.53, 4 Cu 2.66


[4]
A plane-wave DFT calculation with PBE was carried out for a relaxed structure of Nb2CuSi4.

The uncorrected formation energy is 0.5766 eV/atom.

abc: 4.5348 4.5348 7.0324
angles: 71.19 71.19 90.00
Last column: nearest neighbours and their distance in Å.
Positions (direct):
Si1 0.8168 0.8168 0.3663  1 Cu 2.29
Si2 0.0000 0.5000 0.0000  2 Cu 2.27
Si3 0.1832 0.1832 0.6337  1 Cu 2.29
Si4 0.5000 0.0000 0.0000  2 Cu 2.27
Nb1 0.3904 0.3904 0.2193  5 Si 2.59-2.65, 1 Nb 2.74
Nb2 0.6096 0.6096 0.7807  5 Si 2.59-2.65, 1 Nb 2.74
Cu1 0.0000 0.0000 0.0000  6 Si 2.27-2.29


[5]
A plane-wave DFT calculation with PBE was carried out for a relaxed structure of Nb5Cu4Si4.

The uncorrected formation energy is -0.5135 eV/atom.

abc: 7.4686 7.4686 7.4686
angles: 93.36 93.36 151.98
Last column: nearest neighbours and their distance in Å.
Positions (direct):
Nb1 0.5000 0.5000 0.0000  4 Si 2.66
Nb2 0.1957 0.1294 0.3251  5 Si 2.61-2.79, 2 Cu 2.92
Nb3 0.8043 0.8706 0.6749  5 Si 2.61-2.79, 2 Cu 2.92
Nb4 0.8706 0.1957 0.0663  5 Si 2.61-2.79, 2 Cu 2.92
Nb5 0.1294 0.8043 0.9337  5 Si 2.61-2.79, 2 Cu 2.92
Cu1 0.3961 0.9179 0.3140  3 Si 2.34-2.38
Cu2 0.6039 0.0821 0.6860  3 Si 2.34-2.38
Cu3 0.9179 0.6039 0.5218  3 Si 2.34-2.38
Cu4 0.0821 0.3961 0.4782  3 Si 2.34-2.38
Si1 0.4409 0.2476 0.6884  3 Cu 2.34-2.38, 2 Nb 2.61
Si2 0.5591 0.7524 0.3116  3 Cu 2.34-2.38, 2 Nb 2.61
Si3 0.2476 0.5591 0.8067  3 Cu 2.34-2.38, 2 Nb 2.61
Si4 0.7524 0.4409 0.1933  3 Cu 2.34-2.38, 2 Nb 2.61


[6]
A plane-wave DFT calculation with PBE was carried out for a relaxed structure of Nb2CuSi.

The uncorrected formation energy is 0.0947 eV/atom.

abc: 3.6659 3.6659 6.1964
angles: 72.79 72.79 60.00
Last column: nearest neighbours and their distance in Å.
Positions (direct):
Nb1 0.2473 0.2473 0.2582  3 Si 2.54, 3 Cu 2.60
Nb2 0.7527 0.7527 0.7418  3 Si 2.54, 3 Cu 2.60
Cu1 0.0000 0.0000 0.0000  6 Nb 2.60
Si1 0.5000 0.5000 0.5000  6 Nb 2.54